DFT (PBE) results for a geometry-optimized DySn5Te7 structure.

Cell lengths 4.3865, 7.8360, 26.0500 Å; angles 89.99, 90.00, 106.25 degrees
Last column: nearest neighbours and their distance in Å.
Atoms (fractional coordinates):
Dy  0.7917  0.5834  0.2625  7 Te 3.10-3.27
Dy  0.2089  0.4179  0.7626  7 Te 3.10-3.27
Sn  0.0143  0.0285  0.0021  5 Te 3.02-3.16
Sn  0.7452  0.4904  0.9255  6 Te 3.04-3.26
Sn  0.2875  0.5751  0.0754  6 Te 3.07-3.24
Sn  0.5232  0.0464  0.3499  6 Te 3.01-3.29
Sn  0.4427  0.8854  0.6504  6 Te 3.12-3.25
Sn  0.9861  0.9723  0.5020  5 Te 3.02-3.16
Sn  0.2555  0.5111  0.4257  6 Te 3.03-3.26
Sn  0.7126  0.4252  0.5755  6 Te 3.07-3.24
Sn  0.4776  0.9552  0.8500  6 Te 3.01-3.29
Sn  0.5576  0.1151  0.1503  6 Te 3.12-3.25
Te  0.4343  0.8685  0.2465  2 Sn 3.01-3.12, 2 Dy 3.10
Te  0.5664  0.1328  0.7465  2 Sn 3.01-3.12, 2 Dy 3.10
Te  0.6520  0.3041  0.0385  6 Sn 3.15-3.26
Te  0.3790  0.7580  0.9628  6 Sn 3.13-3.29
Te  0.3485  0.6970  0.5387  6 Sn 3.15-3.26
Te  0.6217  0.2433  0.4628  6 Sn 3.13-3.29
Te  0.2060  0.4121  0.1837  3 Sn 3.07-3.25, 2 Dy 3.27
Te  0.8284  0.6568  0.8193  3 Sn 3.04-3.24, 2 Dy 3.20
Te  0.7942  0.5884  0.6836  3 Sn 3.07-3.25, 2 Dy 3.27
Te  0.1727  0.3454  0.3195  3 Sn 3.03-3.24, 2 Dy 3.20
Te  0.9284  0.8567  0.1068  5 Sn 3.02-3.16
Te  0.1197  0.2393  0.8764  4 Sn 3.14-3.16, 1 Dy 3.26
Te  0.0719  0.1438  0.6067  5 Sn 3.02-3.16
Te  0.8812  0.7624  0.3764  4 Sn 3.14-3.17, 1 Dy 3.26

Output
V ... 33.06 A^3/atom
Crystal system ... orthorhombic
Raw total energy ... -0.2972 Ry per atom
Uncorrected formation energy ... -0.46 eV/atom
Density of states at the Fermi level ... 0.447 states/eV/atom
Spin magnetization ... 0.0 μB/cell

DFT (PBE) results for a geometry-optimized HoScCdPb structure.

Cell lengths 5.2015, 5.2015, 5.2015 Å; angles 60.00, 60.00, 60.00 degrees
Last column: nearest neighbours and their distance in Å.
Atoms (fractional coordinates):
Pb  0.2500  0.2500  0.2500  4 Sc 3.19, 4 Ho 3.19
Sc  0.0000  0.0000  0.0000  4 Cd 3.19, 4 Pb 3.19
Ho  0.5000  0.5000  0.5000  4 Pb 3.19, 4 Cd 3.19
Cd  0.7500  0.7500  0.7500  4 Ho 3.19, 4 Sc 3.19

Output
V ... 24.88 A^3/atom
Crystal system ... cubic
Energy relative to the elements ... -0.33 eV/atom
Raw total energy ... -0.3094 Ry per atom
Density of states at the Fermi level ... 0.871 states/eV/atom
Spin magnetization ... 0.0 μB/cell

DFT (PBE) results for a geometry-optimized TaNbSi2 structure.

Cell lengths 4.4641, 4.4641, 4.4641 Å; angles 60.00, 60.00, 60.00 degrees
Last column: nearest neighbours and their distance in Å.
Atoms (fractional coordinates):
Nb  0.0000  0.0000  0.0000  8 Si 2.73
Si  0.2500  0.2500  0.2500  4 Ta 2.73, 4 Nb 2.73
Si  0.7500  0.7500  0.7500  4 Nb 2.73, 4 Ta 2.73
Ta  0.5000  0.5000  0.5000  8 Si 2.73

Output
V ... 15.73 A^3/atom
Crystal system ... cubic
Raw total energy ... -0.6124 Ry per atom
Uncorrected formation energy ... -0.14 eV/atom
Density of states at the Fermi level ... 0.919 states/eV/atom
Spin magnetization ... 0.0 μB/cell

DFT (PBE) results for a geometry-optimized LiGa2Pt3 structure.

Cell lengths 2.9290, 2.9290, 10.2516 Å; angles 90.00, 90.00, 90.00 degrees
Last column: nearest neighbours and their distance in Å.
Atoms (fractional coordinates):
Li  0.5000  0.5000  0.5000  8 Pt 2.68, 4 Li 2.93
Ga  0.5000  0.5000  0.8243  8 Pt 2.63-2.74, 4 Ga 2.93
Ga  0.5000  0.5000  0.1757  8 Pt 2.63-2.74, 4 Ga 2.93
Pt  0.0000  0.0000  0.0000  8 Ga 2.74, 4 Pt 2.93
Pt  0.0000  0.0000  0.6666  4 Ga 2.63, 4 Li 2.68, 4 Pt 2.93
Pt  0.0000  0.0000  0.3334  4 Ga 2.63, 4 Li 2.68, 4 Pt 2.93

Output
V ... 14.66 A^3/atom
Crystal system ... tetragonal
Energy relative to the elements ... -0.59 eV/atom
Raw total energy ... -0.3632 Ry per atom
Density of states at the Fermi level ... 0.352 states/eV/atom
Spin magnetization ... 0.0 μB/cell

DFT (PBE) results for a geometry-optimized Al2InSeBr structure.

Cell lengths 4.9397, 7.3565, 4.9397 Å; angles 90.00, 90.00, 90.00 degrees
Last column: nearest neighbours and their distance in Å.
Atoms (fractional coordinates):
Al  0.0000  0.0000  0.5000  2 Se 2.47
Al  0.5000  0.0000  0.0000  2 Se 2.47
Se  0.0000  0.0000  0.0000  4 Al 2.47
Br  0.0000  0.5000  0.0000  4 In 3.49, 2 Se 3.68
In  0.5000  0.5000  0.5000  4 Br 3.49

Output
V ... 35.90 A^3/atom
Crystal system ... tetragonal
Raw total energy ... -0.2072 Ry per atom
Uncorrected formation energy ... 0.26 eV/atom
Density of states at the Fermi level ... 0.315 states/eV/atom
Spin magnetization ... 0.0 μB/cell

DFT (PBE) results for a geometry-optimized HfTl2H2Se4 structure.

Cell lengths 3.5859, 7.5634, 8.7649 Å; angles 111.60, 101.80, 90.00 degrees
Last column: nearest neighbours and their distance in Å.
Atoms (fractional coordinates):
Hf  0.0000  0.0000  0.0000  6 Se 2.63-2.76
Tl  0.1356  0.5736  0.2712  1 H 3.04, 3 Se 3.30-3.31
Tl  0.8644  0.4264  0.7288  1 H 3.04, 3 Se 3.30-3.31
H  0.6853  0.1339  0.3706  2 Se 1.85
H  0.3147  0.8661  0.6294  2 Se 1.85
Se  0.1733  0.1759  0.3466  2 H 1.85
Se  0.8267  0.8241  0.6534  2 H 1.85
Se  0.5087  0.7534  0.0175  2 Hf 2.63
Se  0.4913  0.2466  0.9825  2 Hf 2.63

Output
V ... 23.96 A^3/atom
Crystal system ... monoclinic
Raw total energy ... -0.3232 Ry per atom
Density of states at the Fermi level ... 0.012 states/eV/atom
Spin magnetization ... 0.0 μB/cell

Q: Which value of raw total energy does entry 6 give?
A: -0.3232 Ry per atom